*1*
Material: TlZnCl3
Method: DFT, PBE
State: relaxed

Cell: 6.9592 6.9592 6.0470 Å, 94.43 94.43 60.05°
Closest atoms and distances in Å follow each position.
Element x y z (fractional)
Cl1 0.6751 0.1606 0.2330  2 Zn 2.46-2.48
Cl2 0.1606 0.6751 0.2330  2 Zn 2.46-2.48
Cl3 0.1622 0.1622 0.2834  2 Zn 2.45-2.48
Cl4 0.8378 0.8378 0.7166  2 Zn 2.45-2.48
Cl5 0.8394 0.3249 0.7670  2 Zn 2.46-2.48
Cl6 0.3249 0.8394 0.7670  2 Zn 2.46-2.48
Tl1 0.6648 0.6648 0.2421  9 Cl 3.39-3.49
Tl2 0.3352 0.3352 0.7579  9 Cl 3.39-3.49
Zn1 0.0000 0.0000 0.0000  6 Cl 2.46-2.48
Zn2 0.0000 0.0000 0.5000  6 Cl 2.45-2.48

V, Å³/cell: 253


*2*
Material: TlZnCl3
Method: DFT, PBE
State: relaxed

Cell: 6.2885 6.6747 8.3269 Å, 67.64 88.18 84.01°
Closest atoms and distances in Å follow each position.
Element x y z (fractional)
Cl1 0.7907 0.4749 0.1423  1 Zn 2.24
Cl2 0.1153 0.8901 0.1923  2 Zn 2.33-2.34
Cl3 0.6184 0.7786 0.4237  2 Zn 2.34
Cl4 0.2946 0.3175 0.4718  1 Zn 2.24
Cl5 0.1280 0.7162 0.6854  1 Zn 2.23
Cl6 0.6190 0.0778 0.9311  1 Zn 2.23
Tl1 0.3089 0.3968 0.0559  6 Cl 3.17-3.47
Tl2 0.8130 0.1514 0.5590  6 Cl 3.17-3.44
Zn1 0.7719 0.8040 0.1582  4 Cl 2.23-2.34
Zn2 0.2752 0.6615 0.4566  4 Cl 2.23-2.34

V, Å³/cell: 321


Quick one: least stable of them? *1*


*1*
Material: Zr2Cl
Method: DFT, PBE
State: relaxed

Cell: 7.7204 7.7204 7.7204 Å, 60.00 60.00 60.00°
Closest atoms and distances in Å follow each position.
Element x y z (fractional)
Cl1 0.2500 0.2500 0.2500  4 Zr 2.36
Cl2 0.5000 0.5000 0.5000  4 Zr 2.36
Zr1 0.8750 0.3750 0.3750  2 Cl 2.36
Zr2 0.3750 0.8750 0.3750  2 Cl 2.36
Zr3 0.3750 0.3750 0.3750  2 Cl 2.36
Zr4 0.3750 0.3750 0.8750  2 Cl 2.36

V, Å³/cell: 325


*2*
Material: Zr2Cl
Method: DFT, PBE
State: relaxed

Cell: 5.9095 5.9095 5.9095 Å, 60.00 60.00 60.00°
Closest atoms and distances in Å follow each position.
Element x y z (fractional)
Cl1 0.0000 0.0000 0.0000  12 Zr 3.46, 4 Cl 3.62
Cl2 0.2500 0.2500 0.2500  12 Zr 3.46, 4 Cl 3.62
Zr1 0.6250 0.6250 0.1250  6 Zr 2.95
Zr2 0.6250 0.1250 0.6250  6 Zr 2.95
Zr3 0.1250 0.6250 0.6250  6 Zr 2.95
Zr4 0.6250 0.6250 0.6250  6 Zr 2.95

V, Å³/cell: 146


Quick one: least stable of them? *1*


*1*
Material: CsCo2
Method: DFT, PBE
State: relaxed

Cell: 5.4863 5.4863 5.4863 Å, 60.00 60.00 60.00°
Closest atoms and distances in Å follow each position.
Element x y z (fractional)
Co1 0.6250 0.6250 0.1250  6 Co 2.74
Co2 0.6250 0.1250 0.6250  6 Co 2.74
Co3 0.1250 0.6250 0.6250  6 Co 2.74
Co4 0.6250 0.6250 0.6250  6 Co 2.74
Cs1 0.0000 0.0000 0.0000  12 Co 3.22, 4 Cs 3.36
Cs2 0.2500 0.2500 0.2500  12 Co 3.22, 4 Cs 3.36

V, Å³/cell: 117


*2*
Material: CsCo2
Method: DFT, PBE
State: relaxed

Cell: 8.0121 8.0121 8.0121 Å, 60.00 60.00 60.00°
Closest atoms and distances in Å follow each position.
Element x y z (fractional)
Co1 0.3750 0.8750 0.3750  2 Cs 2.45
Co2 0.3750 0.3750 0.3750  2 Cs 2.45
Co3 0.8750 0.3750 0.3750  2 Cs 2.45
Co4 0.3750 0.3750 0.8750  2 Cs 2.45
Cs1 0.2500 0.2500 0.2500  4 Co 2.45
Cs2 0.5000 0.5000 0.5000  4 Co 2.45

V, Å³/cell: 364


Quick one: least stable of them? *2*


*1*
Material: CsFeCoSe3
Method: DFT, PBE
State: relaxed

Cell: 8.8954 3.6873 9.4932 Å, 90.00 114.68 90.00°
Closest atoms and distances in Å follow each position.
Element x y z (fractional)
Co1 0.9735 0.2500 0.3892  4 Se 2.28-2.36
Co2 0.0265 0.7500 0.6108  4 Se 2.28-2.36
Cs1 0.5146 0.7500 0.2647  7 Se 3.55-3.67, 2 Cs 3.69
Cs2 0.4854 0.2500 0.7353  7 Se 3.55-3.67, 2 Cs 3.69
Fe1 0.9660 0.7500 0.1578  6 Se 2.42-2.47
Fe2 0.0340 0.2500 0.8422  6 Se 2.42-2.47
Se1 0.1325 0.2500 0.1243  3 Fe 2.45-2.47
Se2 0.7776 0.2500 0.1393  1 Co 2.28, 2 Fe 2.45
Se3 0.1473 0.7500 0.4319  3 Co 2.33-2.36, 1 Fe 2.42
Se4 0.8527 0.2500 0.5681  3 Co 2.33-2.36, 1 Fe 2.42
Se5 0.2224 0.7500 0.8607  1 Co 2.28, 2 Fe 2.45
Se6 0.8675 0.7500 0.8757  3 Fe 2.45-2.47

V, Å³/cell: 283


*2*
Material: CsFeCoSe3
Method: DFT, PBE
State: relaxed

Cell: 8.2961 8.2961 9.8211 Å, 90.00 90.00 154.08°
Closest atoms and distances in Å follow each position.
Element x y z (fractional)
Co1 0.0319 0.9681 0.2500  4 Se 2.30-2.32
Co2 0.9681 0.0319 0.7500  4 Se 2.30-2.32
Cs1 0.7563 0.2436 0.2500  8 Se 3.59-3.70, 2 Cs 3.72
Cs2 0.2436 0.7563 0.7500  8 Se 3.59-3.70, 2 Cs 3.72
Fe1 0.5000 0.5000 0.0000  6 Se 2.56-2.60
Fe2 0.5000 0.5000 0.5000  6 Se 2.56-2.60
Se1 0.1048 0.8952 0.0493  1 Co 2.30, 2 Fe 2.56
Se2 0.4465 0.5535 0.2500  2 Co 2.32
Se3 0.1048 0.8952 0.4507  1 Co 2.30, 2 Fe 2.56
Se4 0.8952 0.1048 0.5493  1 Co 2.30, 2 Fe 2.56
Se5 0.5535 0.4465 0.7500  2 Co 2.32
Se6 0.8952 0.1048 0.9507  1 Co 2.30, 2 Fe 2.56

V, Å³/cell: 295


Quick one: least stable of them? *2*


*1*
Material: CsLaCoTe3
Method: DFT, PBE
State: relaxed

Cell: 8.8303 8.8303 12.1188 Å, 90.00 90.00 29.51°
Closest atoms and distances in Å follow each position.
Element x y z (fractional)
Co1 0.4667 0.4667 0.2500  4 Te 2.59-2.71
Co2 0.5333 0.5333 0.7500  4 Te 2.59-2.71
Cs1 0.7400 0.7400 0.2500  6 Te 3.87-3.88
Cs2 0.2600 0.2600 0.7500  6 Te 3.87-3.88
La1 0.0000 0.0000 0.0000  6 Te 3.18-3.20
La2 0.0000 0.0000 0.5000  6 Te 3.18-3.20
Te1 0.3779 0.3779 0.0765  1 Co 2.59
Te2 0.0558 0.0558 0.2500  2 Co 2.71
Te3 0.3779 0.3779 0.4235  1 Co 2.59
Te4 0.6221 0.6221 0.5765  1 Co 2.59
Te5 0.9442 0.9442 0.7500  2 Co 2.71
Te6 0.6221 0.6221 0.9235  1 Co 2.59

V, Å³/cell: 465


*2*
Material: CsLaCoTe3
Method: DFT, PBE
State: relaxed

Cell: 12.7204 4.6858 14.0123 Å, 90.00 90.00 90.00°
Closest atoms and distances in Å follow each position.
Element x y z (fractional)
Co1 0.7413 0.0000 0.2019  4 Te 2.56-2.61
Co2 0.2413 0.0000 0.2981  4 Te 2.56-2.61
Co3 0.7587 0.5000 0.7019  4 Te 2.56-2.61
Co4 0.2587 0.5000 0.7981  4 Te 2.56-2.61
Cs1 0.1708 0.0000 0.0082  7 Te 3.77-3.85, 3 Co 3.92-4.16
Cs2 0.6708 0.0000 0.4918  7 Te 3.77-3.85, 3 Co 3.92-4.16
Cs3 0.3292 0.5000 0.5082  7 Te 3.77-3.85, 3 Co 3.92-4.16
Cs4 0.8292 0.5000 0.9918  7 Te 3.77-3.85, 3 Co 3.92-4.16
La1 0.4762 0.5000 0.1673  7 Te 3.22-3.43
La2 0.9762 0.5000 0.3327  7 Te 3.22-3.43
La3 0.0238 0.0000 0.6673  7 Te 3.22-3.43
La4 0.5238 0.0000 0.8327  7 Te 3.22-3.43
Te1 0.6093 0.0000 0.0592  1 Co 2.61
Te2 0.9411 0.0000 0.1786  1 Co 2.56
Te3 0.2132 0.5000 0.2224  2 Co 2.60
Te4 0.7132 0.5000 0.2776  2 Co 2.60
Te5 0.4411 0.0000 0.3214  1 Co 2.56
Te6 0.1093 0.0000 0.4408  1 Co 2.61
Te7 0.8907 0.5000 0.5592  1 Co 2.61
Te8 0.5589 0.5000 0.6786  1 Co 2.56
Te9 0.2868 0.0000 0.7224  2 Co 2.60
Te10 0.7868 0.0000 0.7776  2 Co 2.60
Te11 0.0589 0.5000 0.8214  1 Co 2.56
Te12 0.3907 0.5000 0.9408  1 Co 2.61

V, Å³/cell: 835


Quick one: least stable of them? *2*


*1*
Material: CsLiCoRe
Method: DFT, PBE
State: relaxed

Cell: 4.7363 4.7363 4.7363 Å, 60.00 60.00 60.00°
Closest atoms and distances in Å follow each position.
Element x y z (fractional)
Co1 0.0000 0.0000 0.0000  4 Li 2.90, 4 Cs 2.90
Cs1 0.2500 0.2500 0.2500  4 Re 2.90, 4 Co 2.90
Li1 0.7500 0.7500 0.7500  4 Co 2.90, 4 Re 2.90
Re1 0.5000 0.5000 0.5000  4 Cs 2.90, 4 Li 2.90

V, Å³/cell: 75


*2*
Material: CsLiCoRe
Method: DFT, PBE
State: relaxed

Cell: 4.6780 4.6780 4.6780 Å, 60.00 60.00 60.00°
Closest atoms and distances in Å follow each position.
Element x y z (fractional)
Co1 0.5000 0.5000 0.5000  4 Li 2.86, 4 Re 2.86
Cs1 0.0000 0.0000 0.0000  4 Li 2.86, 4 Re 2.86
Li1 0.7500 0.7500 0.7500  4 Co 2.86, 4 Cs 2.86
Re1 0.2500 0.2500 0.2500  4 Co 2.86, 4 Cs 2.86

V, Å³/cell: 72


Quick one: least stable of them? *1*


*1*
Material: CsLiCoTc
Method: DFT, PBE
State: relaxed

Cell: 4.6992 4.6992 4.6992 Å, 60.00 60.00 60.00°
Closest atoms and distances in Å follow each position.
Element x y z (fractional)
Co1 0.0000 0.0000 0.0000  4 Li 2.88, 4 Cs 2.88
Cs1 0.2500 0.2500 0.2500  4 Co 2.88, 4 Tc 2.88
Li1 0.7500 0.7500 0.7500  4 Co 2.88, 4 Tc 2.88
Tc1 0.5000 0.5000 0.5000  4 Li 2.88, 4 Cs 2.88

V, Å³/cell: 73


*2*
Material: CsLiCoTc
Method: DFT, PBE
State: relaxed

Cell: 4.7378 4.7378 4.7378 Å, 60.00 60.00 60.00°
Closest atoms and distances in Å follow each position.
Element x y z (fractional)
Co1 0.5000 0.5000 0.5000  4 Li 2.90, 4 Tc 2.90
Cs1 0.0000 0.0000 0.0000  4 Li 2.90, 4 Tc 2.90
Li1 0.7500 0.7500 0.7500  4 Co 2.90, 4 Cs 2.90
Tc1 0.2500 0.2500 0.2500  4 Co 2.90, 4 Cs 2.90

V, Å³/cell: 75


Quick one: least stable of them? *1*


*1*
Material: CsLuCo
Method: DFT, PBE
State: relaxed

Cell: 4.7943 4.7943 4.7943 Å, 60.00 60.00 60.00°
Closest atoms and distances in Å follow each position.
Element x y z (fractional)
Co1 0.2500 0.2500 0.2500  4 Cs 2.94
Cs1 0.0000 0.0000 0.0000  4 Co 2.94, 4 Lu 2.94
Lu1 0.7500 0.7500 0.7500  4 Cs 2.94

V, Å³/cell: 78


*2*
Material: CsLuCo
Method: DFT, PBE
State: relaxed

Cell: 4.9837 4.9837 4.9837 Å, 60.00 60.00 60.00°
Closest atoms and distances in Å follow each position.
Element x y z (fractional)
Co1 0.2500 0.2500 0.2500  4 Lu 3.05
Cs1 0.7500 0.7500 0.7500  4 Lu 3.05
Lu1 0.0000 0.0000 0.0000  4 Co 3.05, 4 Cs 3.05

V, Å³/cell: 88


Quick one: least stable of them? *1*


*1*
Material: CsMgCoMo
Method: DFT, PBE
State: relaxed

Cell: 4.8129 4.8129 4.8129 Å, 60.00 60.00 60.00°
Closest atoms and distances in Å follow each position.
Element x y z (fractional)
Co1 0.0000 0.0000 0.0000  4 Mg 2.95, 4 Mo 2.95
Cs1 0.5000 0.5000 0.5000  4 Mo 2.95, 4 Mg 2.95
Mg1 0.7500 0.7500 0.7500  4 Co 2.95, 4 Cs 2.95
Mo1 0.2500 0.2500 0.2500  4 Cs 2.95, 4 Co 2.95

V, Å³/cell: 79


*2*
Material: CsMgCoMo
Method: DFT, PBE
State: relaxed

Cell: 4.9430 4.9430 4.9430 Å, 60.00 60.00 60.00°
Closest atoms and distances in Å follow each position.
Element x y z (fractional)
Co1 0.5000 0.5000 0.5000  4 Mg 3.03, 4 Cs 3.03
Cs1 0.2500 0.2500 0.2500  4 Co 3.03, 4 Mo 3.03
Mg1 0.7500 0.7500 0.7500  4 Co 3.03, 4 Mo 3.03
Mo1 0.0000 0.0000 0.0000  4 Mg 3.03, 4 Cs 3.03

V, Å³/cell: 85


Quick one: least stable of them? *2*


*1*
Material: CsMgCoW
Method: DFT, PBE
State: relaxed

Cell: 4.9649 4.9649 4.9649 Å, 60.00 60.00 60.00°
Closest atoms and distances in Å follow each position.
Element x y z (fractional)
Co1 0.5000 0.5000 0.5000  4 Cs 3.04, 4 Mg 3.04
Cs1 0.2500 0.2500 0.2500  4 W 3.04, 4 Co 3.04
Mg1 0.7500 0.7500 0.7500  4 Co 3.04, 4 W 3.04
W1 0.0000 0.0000 0.0000  4 Cs 3.04, 4 Mg 3.04

V, Å³/cell: 87


*2*
Material: CsMgCoW
Method: DFT, PBE
State: relaxed

Cell: 4.9876 4.9876 4.9876 Å, 60.00 60.00 60.00°
Closest atoms and distances in Å follow each position.
Element x y z (fractional)
Co1 0.2500 0.2500 0.2500  4 Cs 3.05, 4 W 3.05
Cs1 0.5000 0.5000 0.5000  4 Mg 3.05, 4 Co 3.05
Mg1 0.7500 0.7500 0.7500  4 Cs 3.05, 4 W 3.05
W1 0.0000 0.0000 0.0000  4 Mg 3.05, 4 Co 3.05

V, Å³/cell: 88


*3*
Material: CsMgCoW
Method: DFT, PBE
State: relaxed

Cell: 4.7799 4.7799 4.7799 Å, 60.00 60.00 60.00°
Closest atoms and distances in Å follow each position.
Element x y z (fractional)
Co1 0.0000 0.0000 0.0000  4 Mg 2.93, 4 W 2.93
Cs1 0.5000 0.5000 0.5000  4 W 2.93, 4 Mg 2.93
Mg1 0.7500 0.7500 0.7500  4 Co 2.93, 4 Cs 2.93
W1 0.2500 0.2500 0.2500  4 Cs 2.93, 4 Co 2.93

V, Å³/cell: 77


Quick one: least stable of them? *1*


*1*
Material: CsNaCo
Method: DFT, PBE
State: relaxed

Cell: 5.6245 5.6245 5.6245 Å, 60.00 60.00 60.00°
Closest atoms and distances in Å follow each position.
Element x y z (fractional)
Co1 0.2500 0.2500 0.2500  4 Na 3.44
Cs1 0.7500 0.7500 0.7500  4 Na 3.44
Na1 0.0000 0.0000 0.0000  4 Co 3.44, 4 Cs 3.44

V, Å³/cell: 126


*2*
Material: CsNaCo
Method: DFT, PBE
State: relaxed

Cell: 5.9985 5.9985 5.9985 Å, 60.00 60.00 60.00°
Closest atoms and distances in Å follow each position.
Element x y z (fractional)
Co1 0.2500 0.2500 0.2500  4 Cs 3.67
Cs1 0.0000 0.0000 0.0000  4 Co 3.67, 4 Na 3.67
Na1 0.7500 0.7500 0.7500  4 Cs 3.67

V, Å³/cell: 153


Quick one: least stable of them? *2*


*1*
Material: CsNaCoRe
Method: DFT, PBE
State: relaxed

Cell: 5.0108 5.0108 5.0108 Å, 60.00 60.00 60.00°
Closest atoms and distances in Å follow each position.
Element x y z (fractional)
Co1 0.2500 0.2500 0.2500  4 Cs 3.07, 4 Re 3.07
Cs1 0.0000 0.0000 0.0000  4 Co 3.07, 4 Na 3.07
Na1 0.7500 0.7500 0.7500  4 Re 3.07, 4 Cs 3.07
Re1 0.5000 0.5000 0.5000  4 Na 3.07, 4 Co 3.07

V, Å³/cell: 89


*2*
Material: CsNaCoRe
Method: DFT, PBE
State: relaxed

Cell: 4.8194 4.8194 4.8194 Å, 60.00 60.00 60.00°
Closest atoms and distances in Å follow each position.
Element x y z (fractional)
Co1 0.5000 0.5000 0.5000  4 Re 2.95, 4 Na 2.95
Cs1 0.0000 0.0000 0.0000  4 Na 2.95, 4 Re 2.95
Na1 0.7500 0.7500 0.7500  4 Cs 2.95, 4 Co 2.95
Re1 0.2500 0.2500 0.2500  4 Co 2.95, 4 Cs 2.95

V, Å³/cell: 79


*3*
Material: CsNaCoRe
Method: DFT, PBE
State: relaxed

Cell: 5.2740 5.2740 5.2740 Å, 60.00 60.00 60.00°
Closest atoms and distances in Å follow each position.
Element x y z (fractional)
Co1 0.0000 0.0000 0.0000  4 Cs 3.23, 4 Na 3.23
Cs1 0.2500 0.2500 0.2500  4 Co 3.23, 4 Re 3.23
Na1 0.7500 0.7500 0.7500  4 Re 3.23, 4 Co 3.23
Re1 0.5000 0.5000 0.5000  4 Cs 3.23, 4 Na 3.23

V, Å³/cell: 104


Quick one: least stable of them? *3*